YCr2MoO6 | GGA+U | relaxed

Cell: 5.3928 5.3928 14.0708 Å, 90.00 90.00 120.00°
Closest atoms and distances in Å follow each position.
Space group R3 (No. 146, hexagonal axes)
Unique sites:
Y 0.0000 0.0000 0.0000 x3  6 O 2.22-2.38
Cr 0.0000 0.0000 0.2773 x3  6 O 2.01-2.12
Cr 0.0000 0.0000 0.7842 x3  6 O 2.02-2.08
Mo 0.0000 0.0000 0.4833 x3  6 O 2.16-2.19
O 0.0166 0.3841 0.5428 x9  2 Cr 2.01-2.08, 1 Mo 2.19
O 0.0194 0.6154 0.0449 x9  2 Cr 2.02-2.12, 1 Mo 2.16, 1 Y 2.22

=====

ZnCrMoO4 | GGA+U | relaxed

Cell: 5.8204 6.2231 8.9885 Å, 90.00 90.00 90.00°
Closest atoms and distances in Å follow each position.
Space group Imma (No. 74)
Unique sites:
Zn 0.0000 0.2500 0.1316 x4  4 O 2.01-2.02
Cr 0.0000 0.0000 0.5000 x4  6 O 2.02-2.05
Mo 0.2500 0.2500 0.7500 x4  6 O 2.15-2.16
O 0.0000 0.0018 0.2748 x8  1 Zn 2.01, 1 Cr 2.02, 2 Mo 2.15
O 0.2299 0.2500 0.5101 x8  1 Zn 2.02, 2 Cr 2.05, 1 Mo 2.16

## Properties
DOS(E_F) in states/eV/atom: 0.02

=====

For the records above, the corresponding total energy values read -8.0572 -6.7389 eV per atom.
For the records above, the corresponding total magnetic moment values read 9.00 5.24 μB per formula unit.